Here is a relaxed Ac3Nd2In4 crystal from Alexandria via LeMat-Bulk. Energies are from PBE.

It has space group C2/m (No. 12), with a = 9.8261 Å, b = 5.6639 Å, c = 10.7593 Å, α = 90.00°, β = 90.11° and γ = 90.00°. The asymmetric unit holds Ac at (0.0000, 0.0000, 0.0000), Ac at (0.1666, 0.5000, 0.5803), Nd at (0.1667, 0.5000, 0.2144), In at (0.0002, 0.0000, 0.3430) and In at (0.1667, 0.5000, 0.8985).

The calculation puts the electronic total energy at -3.997 eV/atom.

Here is a relaxed CaPr3Ni8 crystal from Alexandria via LeMat-Bulk. Energies are from PBE.

It has space group R3m (No. 160, hexagonal axes), with a = 5.1666 Å, b = 5.1666 Å, c = 25.3929 Å, α = 90.00°, β = 90.00° and γ = 120.00°. The asymmetric unit holds Ca at (0.0000, 0.0000, 0.0000), Pr at (0.0000, 0.0000, 0.1234), Pr at (0.0000, 0.0000, 0.5025), Pr at (0.0000, 0.0000, 0.6290), Ni at (0.0000, 0.0000, 0.3141), Ni at (0.0000, 0.0000, 0.8135), Ni at (0.0018, 0.5009, 0.0635) and Ni at (0.1669, 0.3339, 0.8972).

The calculation puts the electronic total energy at -5.482 eV/atom.

Here is a relaxed Sr2CdSnS5 crystal from Alexandria via LeMat-Bulk. Energies are from PBE.

It has space group Cmc2_1 (No. 36), with a = 3.9732 Å, b = 18.8642 Å, c = 12.0578 Å, α = 90.00°, β = 90.00° and γ = 90.00°. The asymmetric unit holds Sr at (0.0000, 0.1261, 0.0000), Sr at (0.0000, 0.1259, 0.3690), Cd at (0.0000, 0.2289, 0.7241), Sn at (0.0000, 0.4383, 0.1383), S at (0.0000, 0.0360, 0.7559), S at (0.0000, 0.2901, 0.3649), S at (0.0000, 0.3198, 0.0650), S at (0.0000, 0.3616, 0.6882) and S at (0.0000, 0.4987, 0.9644).

The calculation puts the formation energy (no corrections) at -1.172 eV per atom. The calculation puts the electronic total energy at -4.385 eV/atom.